Computed, not measured: crystalline PmZrNi2 at its relaxed geometry at the PBE level of DFT.

Cell and atoms, written as extended XYZ:
```
4
Lattice="4.4147 0.0000 0.0000 2.2073 3.8232 0.0000 2.2073 1.2744 4.7316" Properties=species:S:1:pos:R:3 pbc="T T T"
Ni 6.6220 3.8232 2.9520
Ni 2.2073 1.2744 1.7796
Zr 4.4147 2.5488 2.3658
Pm 0.0000 0.0000 0.0000
```

Values from the calculation:
E_form = -0.294 eV/atom
Crystal system = trigonal
Space-group type = R-3m
Polymorph energy (0 for the lowest one) = 0.092 eV/f.u.